The following is a DFT calculation (GGA-PBE) of Pr3Ho8Tm2 after structural relaxation.

Its volume is 33.5 A^3/atom. The value obtained for the calculated density is 7.94 Mg/m³. The formation energy is 0.249 eV per atom. Its crystal system is monoclinic. For the density of states at the Fermi level, the calculation gives 1.583 states/eV per atom. Its total moment is 0.0 μB per formula unit. The total energy is -113.33 eV per cell. Its offset from the most stable computed form is 0.1685 eV/atom.

Unit cell a=19.9340 b=7.7385 c=5.6404 alpha=90.00 beta=90.07 gamma=90.00
Space group C2/m (No. 12)
Unique sites:
Pr: 0.0000 0.0000 0.0000 x2
Pr: 0.0000 0.2935 0.5000 x4
Ho: 0.1105 0.2918 0.0004 x8
Ho: 0.1364 0.0000 0.4993 x4
Ho: 0.1734 0.5000 0.5015 x4
Tm: 0.2410 0.0000 0.9982 x4